Entry 1:
# HgRhW2 (PBE, relaxed)
# DFT formation energy	0.41	eV per atom
data_HgRhW2
_cell_length_a 2.7802
_cell_length_b 4.2503
_cell_length_c 5.5751
_cell_angle_alpha 90.00
_cell_angle_beta 90.00
_cell_angle_gamma 90.00
_space_group_name_H-M_alt 'P m m m'
_space_group_IT_number 47
loop_
_space_group_symop_operation_xyz
'x,y,z'
'-x,-y,-z'
'-x,-y,z'
'x,y,-z'
'x,-y,-z'
'-x,y,z'
'-x,y,-z'
'x,-y,z'
loop_
_atom_site_label
_atom_site_fract_x
_atom_site_fract_y
_atom_site_fract_z
Hg1 0.0000 0.0000 0.0000
Rh1 0.0000 0.0000 0.5000
W1 0.5000 0.5000 0.2694

Entry 2:
# CaMnIr (PBE, relaxed)
# DFT formation energy	-0.08	eV per atom
data_CaMnIr
_cell_length_a 5.0712
_cell_length_b 4.5567
_cell_length_c 5.7454
_cell_angle_alpha 90.00
_cell_angle_beta 116.07
_cell_angle_gamma 90.00
_space_group_name_H-M_alt 'P 1 m 1'
_space_group_IT_number 6
loop_
_space_group_symop_operation_xyz
'x,y,z'
'x,-y,z'
loop_
_atom_site_label
_atom_site_fract_x
_atom_site_fract_y
_atom_site_fract_z
Ca1 0.0000 0.0000 0.0000
Ca2 0.4778 0.5000 0.0010
Mn1 0.3743 0.0000 0.5480
Mn2 0.6524 0.5000 0.5491
Ir1 0.1048 0.5000 0.4321
Ir2 0.8053 0.0000 0.4318

Entry 3:
# Nd6MgFe2 (PBE, relaxed)
# DFT formation energy	0.04	eV per atom
data_Nd6MgFe2
_cell_length_a 9.8263
_cell_length_b 10.0618
_cell_length_c 10.3809
_cell_angle_alpha 90.00
_cell_angle_beta 90.00
_cell_angle_gamma 90.00
_space_group_name_H-M_alt 'I m m m'
_space_group_IT_number 71
_space_group_name_Hall '-I 2 2'
loop_
_atom_site_label
_atom_site_fract_x
_atom_site_fract_y
_atom_site_fract_z
Nd1 0.0000 0.2151 0.2249
Nd2 0.2023 0.5000 0.1910
Nd3 0.2100 0.3128 0.5000
Mg1 0.0000 0.0000 0.0000
Mg2 0.0000 0.0000 0.5000
Fe1 0.0000 0.3888 0.0000
Fe2 0.0000 0.5000 0.3950

Entry 4:
# Mg3Zn2Pt (PBE, relaxed)
# DFT formation energy	-0.33	eV per atom
data_Mg3Zn2Pt
_cell_length_a 14.7355
_cell_length_b 3.7941
_cell_length_c 4.0561
_cell_angle_alpha 90.00
_cell_angle_beta 105.51
_cell_angle_gamma 90.00
_space_group_name_H-M_alt 'C 1 2/m 1'
_space_group_IT_number 12
loop_
_space_group_symop_operation_xyz
'x,y,z'
'-x,-y,-z'
'-x,y,-z'
'x,-y,z'
'x+1/2,y+1/2,z'
'-x+1/2,-y+1/2,-z'
'-x+1/2,y+1/2,-z'
'x+1/2,-y+1/2,z'
loop_
_atom_site_label
_atom_site_fract_x
_atom_site_fract_y
_atom_site_fract_z
Mg1 0.0000 0.0000 0.0000
Mg2 0.1748 0.5000 0.1707
Zn1 0.1313 0.0000 0.6281
Pt1 0.0000 0.5000 0.5000

Entry 5:
# Be2GaNiSn (PBE, relaxed)
# DFT formation energy	0.61	eV per atom
data_Be2GaNiSn
_cell_length_a 4.2280
_cell_length_b 4.2280
_cell_length_c 4.6000
_cell_angle_alpha 90.00
_cell_angle_beta 90.00
_cell_angle_gamma 90.00
_space_group_name_H-M_alt 'P 4/m m m'
_space_group_IT_number 123
_space_group_name_Hall '-P 4 2'
loop_
_atom_site_label
_atom_site_fract_x
_atom_site_fract_y
_atom_site_fract_z
Be1 0.0000 0.5000 0.0000
Ga1 0.0000 0.0000 0.0000
Ni1 0.0000 0.0000 0.5000
Sn1 0.5000 0.5000 0.5000

Entry 6:
# ZrAlAu3 (PBE, relaxed)
# DFT formation energy	0.14	eV per atom
data_ZrAlAu3
_cell_length_a 4.7350
_cell_length_b 4.7350
_cell_length_c 4.7350
_cell_angle_alpha 90.00
_cell_angle_beta 90.00
_cell_angle_gamma 90.00
_space_group_name_H-M_alt 'P m -3 m'
_space_group_IT_number 221
_space_group_name_Hall '-P 4 2 3'
loop_
_atom_site_label
_atom_site_fract_x
_atom_site_fract_y
_atom_site_fract_z
Zr1 0.0000 0.0000 0.0000
Al1 0.5000 0.5000 0.5000
Au1 0.0000 0.5000 0.5000

Entry 7:
# Ho12Tm2Mg (PBE, relaxed)
# DFT formation energy	0.11	eV per atom
data_Ho12Tm2Mg
_cell_length_a 6.9465
_cell_length_b 11.1980
_cell_length_c 23.9800
_cell_angle_alpha 90.00
_cell_angle_beta 97.42
_cell_angle_gamma 90.00
_space_group_name_H-M_alt 'C 1 2/m 1'
_space_group_IT_number 12
loop_
_space_group_symop_operation_xyz
'x,y,z'
'-x,-y,-z'
'-x,y,-z'
'x,-y,z'
'x+1/2,y+1/2,z'
'-x+1/2,-y+1/2,-z'
'-x+1/2,y+1/2,-z'
'x+1/2,-y+1/2,z'
loop_
_atom_site_label
_atom_site_fract_x
_atom_site_fract_y
_atom_site_fract_z
Ho1 0.0631 0.2267 0.4335
Ho2 0.0993 0.2394 0.9436
Ho3 0.1277 0.5000 0.6084
Ho4 0.1510 0.0000 0.6522
Ho5 0.1541 0.5000 0.0807
Ho6 0.1697 0.0000 0.0710
Ho7 0.2029 0.2586 0.1737
Ho8 0.2106 0.2169 0.3047
Tm1 0.0233 0.0000 0.7882
Tm2 0.0255 0.5000 0.7663
Mg1 0.2245 0.0000 0.5172

Entry 8:
# Pm4Ho2MgSc (PBE, relaxed)
# DFT formation energy	0.02	eV per atom
data_Pm4Ho2MgSc
_cell_length_a 5.0342
_cell_length_b 5.0334
_cell_length_c 9.7031
_cell_angle_alpha 90.00
_cell_angle_beta 90.04
_cell_angle_gamma 90.00
_space_group_name_H-M_alt 'P 1 2/m 1'
_space_group_IT_number 10
loop_
_space_group_symop_operation_xyz
'x,y,z'
'-x,-y,-z'
'-x,y,-z'
'x,-y,z'
loop_
_atom_site_label
_atom_site_fract_x
_atom_site_fract_y
_atom_site_fract_z
Pm1 0.9997 0.0000 0.2490
Pm2 0.4994 0.5000 0.2489
Ho1 0.0000 0.5000 0.0000
Ho2 0.5000 0.0000 0.5000
Mg1 0.0000 0.5000 0.5000
Sc1 0.5000 0.0000 0.0000